1.
Hf2MnN: optimized geometry, PBE.

Values from the calculation:
**Raw formation energy**: -0.269 eV/atom
**Density of states at the Fermi level**: 6.9 states/eV per cell

a b c (Å): 5.6459 5.6459 5.6459
angles (deg): 112.73 112.73 103.13
Last column: nearest neighbours and their distance in Å.
Positions (direct):
Hf: 0.0475 0.1250 0.4225  2 N 2.09
Hf: 0.3750 0.9525 0.0775  2 N 2.09
Hf: 0.7025 0.6250 0.5775  2 N 2.09
Hf: 0.8750 0.2975 0.9225  2 N 2.09
Mn: 0.2500 0.7500 0.5000  4 Hf 2.72
Mn: 0.5000 0.5000 0.0000  4 Hf 2.72
N: 0.0000 0.0000 0.0000  4 Hf 2.09
N: 0.7500 0.2500 0.5000  4 Hf 2.09

=====

2.
HfMn2N: optimized geometry, PBE.

Values from the calculation:
**Raw formation energy**: 0.047 eV/atom
**Density of states at the Fermi level**: 8.5 states/eV per cell

a b c (Å): 5.4783 5.4783 5.4783
angles (deg): 118.95 118.95 91.84
Last column: nearest neighbours and their distance in Å.
Positions (direct):
Hf: 0.0000 0.0000 0.0000  4 Mn 2.76
Hf: 0.7500 0.2500 0.5000  4 Mn 2.76
Mn: 0.2668 0.6250 0.1418  2 N 1.79
Mn: 0.3750 0.5168 0.6418  2 N 1.79
Mn: 0.4832 0.1250 0.8582  2 N 1.79
Mn: 0.8750 0.7332 0.3582  2 N 1.79
N: 0.2500 0.7500 0.5000  4 Mn 1.79
N: 0.5000 0.5000 0.0000  4 Mn 1.79

=====

3.
HfMn3N: optimized geometry, PBE.

Values from the calculation:
**Raw formation energy**: 3.110 eV/atom
**Density of states at the Fermi level**: 11.2 states/eV per cell
**ΔE to the lowest computed polymorph**: 1649 kJ/mol of formula units

a b c (Å): 4.5544 4.5544 4.5544
angles (deg): 90.00 90.00 90.00
Last column: nearest neighbours and their distance in Å.
Positions (direct):
Hf: 0.0000 0.0000 0.0000  6 Mn 2.28
Mn: 0.0000 0.0000 0.5000  2 Hf 2.28
Mn: 0.0000 0.5000 0.0000  2 Hf 2.28
Mn: 0.5000 0.0000 0.0000  2 Hf 2.28
N: 0.5000 0.5000 0.5000  12 Mn 3.22